# 1
{
  "formula": "Ge2SbPd",
  "functional": "PBE",
  "state": "relaxed",
  "e_form_raw_ev_per_atom": 0.00,
  "density_g_cm3": 7.4,
  "e_tot_ev_per_atom": -4.636,
  "magnetic_moment_mub_per_fu": 0.0,
  "cell": [[3.187, 0.000, 0.000], [1.594, 2.760, 0.000], [1.594, 0.920, 9.550]],
  "species": ["Sb", "Ge", "Ge", "Pd"],
  "fractional_positions": [[0.000, 0.000, 0.000], [0.101, 0.101, 0.696], [0.899, 0.899, 0.304], [0.500, 0.500, 0.500]]
}


# 2
{
  "formula": "Nd2PuThN4",
  "functional": "PBE",
  "state": "relaxed",
  "e_form_raw_ev_per_atom": -1.41,
  "density_g_cm3": 10.2,
  "e_tot_ev_per_atom": -9.482,
  "magnetic_moment_mub_per_fu": 4.8,
  "cell": [[3.616, 0.000, 0.000], [0.000, 6.253, 0.096], [0.000, -2.198, 5.869]],
  "species": ["Nd", "Nd", "Pu", "Th", "N", "N", "N", "N"],
  "fractional_positions": [[0.500, 0.000, 0.500], [0.000, 0.500, 0.500], [0.000, 0.000, 0.000], [0.500, 0.500, 0.000], [0.500, 0.235, 0.228], [0.500, 0.765, 0.772], [0.000, 0.253, 0.764], [0.000, 0.747, 0.236]]
}


# 3
{
  "formula": "LiPrCd4Ag2",
  "functional": "PBE",
  "state": "relaxed",
  "density_g_cm3": 7.8,
  "e_tot_ev_per_atom": -2.209,
  "magnetic_moment_mub_per_fu": 0.0,
  "formation_energy_ev_per_atom": -0.2018,
  "cell": [[4.936, 0.000, 0.000], [2.468, 4.275, 0.000], [2.468, 1.425, 8.238]],
  "species": ["Li", "Pr", "Cd", "Cd", "Cd", "Cd", "Ag", "Ag"],
  "fractional_positions": [[0.500, 0.500, 0.500], [0.000, 0.000, 0.000], [0.389, 0.389, 0.832], [0.868, 0.868, 0.396], [0.132, 0.132, 0.604], [0.611, 0.611, 0.168], [0.749, 0.749, 0.754], [0.251, 0.251, 0.246]]
}


# 4
{
  "formula": "ZrPaTc2",
  "functional": "PBE",
  "state": "relaxed",
  "polymorph_energy_ev_per_fu": 0.03,
  "density_g_cm3": 11.3,
  "e_tot_ev_per_atom": -10.012,
  "magnetic_moment_mub_per_fu": 0.0,
  "formation_energy_ev_per_atom": -0.3183,
  "cell": [[4.761, 0.000, 0.000], [2.381, 4.123, 0.000], [2.381, 1.374, 3.887]],
  "species": ["Pa", "Tc", "Tc", "Zr"],
  "fractional_positions": [[0.500, 0.500, 0.500], [0.750, 0.750, 0.750], [0.250, 0.250, 0.250], [0.000, 0.000, 0.000]]
}


# 5
{
  "formula": "AcPm4Er15",
  "functional": "PBE",
  "state": "relaxed",
  "density_g_cm3": 8.6,
  "e_tot_ev_per_atom": -4.545,
  "magnetic_moment_mub_per_fu": 0.0,
  "formation_energy_ev_per_atom": 0.0326,
  "cell": [[5.040, 0.000, 0.000], [0.000, 5.040, 0.000], [0.000, 0.000, 25.091]],
  "species": ["Ac", "Pm", "Pm", "Pm", "Pm", "Er", "Er", "Er", "Er", "Er", "Er", "Er", "Er", "Er", "Er", "Er", "Er", "Er", "Er", "Er"],
  "fractional_positions": [[0.000, 0.000, 0.000], [0.000, 0.000, 0.202], [0.000, 0.000, 0.401], [0.000, 0.000, 0.599], [0.000, 0.000, 0.798], [0.500, 0.500, 0.000], [0.500, 0.500, 0.203], [0.500, 0.500, 0.401], [0.500, 0.500, 0.599], [0.500, 0.500, 0.797], [0.500, 0.000, 0.104], [0.500, 0.000, 0.302], [0.500, 0.000, 0.500], [0.500, 0.000, 0.698], [0.500, 0.000, 0.896], [0.000, 0.500, 0.104], [0.000, 0.500, 0.302], [0.000, 0.500, 0.500], [0.000, 0.500, 0.698], [0.000, 0.500, 0.896]]
}


# 6
{
  "formula": "Li2Ho2ErCd5",
  "functional": "PBE",
  "state": "relaxed",
  "density_g_cm3": 7.9,
  "e_tot_ev_per_atom": -2.469,
  "magnetic_moment_mub_per_fu": 0.0,
  "formation_energy_ev_per_atom": -0.2567,
  "cell": [[-0.079, 3.580, 2.097], [1.476, -5.185, 8.906], [10.304, 0.915, -1.175]],
  "species": ["Li", "Li", "Li", "Li", "Ho", "Ho", "Ho", "Ho", "Er", "Er", "Cd", "Cd", "Cd", "Cd", "Cd", "Cd", "Cd", "Cd", "Cd", "Cd"],
  "fractional_positions": [[0.000, 0.115, 0.615], [0.000, 0.885, 0.385], [0.000, 0.615, 0.885], [0.000, 0.385, 0.115], [0.000, 0.679, 0.179], [0.000, 0.321, 0.821], [0.000, 0.179, 0.321], [0.000, 0.821, 0.679], [0.000, 0.000, 0.000], [0.000, 0.500, 0.500], [0.500, 0.215, 0.062], [0.500, 0.785, 0.938], [0.500, 0.062, 0.785], [0.500, 0.715, 0.438], [0.500, 0.938, 0.215], [0.500, 0.285, 0.562], [0.500, 0.562, 0.715], [0.500, 0.438, 0.285], [0.500, 0.500, 0.000], [0.500, 0.000, 0.500]]
}


# 7
{
  "formula": "MgNiRh2C",
  "functional": "PBE",
  "state": "relaxed",
  "density_g_cm3": 7.9,
  "e_tot_ev_per_atom": -6.511,
  "magnetic_moment_mub_per_fu": 0.0,
  "formation_energy_ev_per_atom": -0.2506,
  "cell": [[-2.120, -1.665, 3.064], [-2.647, -1.567, -2.682], [2.114, -3.148, -0.248]],
  "species": ["Ni", "Mg", "Rh", "Rh", "C"],
  "fractional_positions": [[0.000, 0.000, 0.500], [0.500, 0.500, 0.500], [0.000, 0.500, 0.000], [0.500, 0.000, 0.000], [0.000, 0.000, 0.000]]
}


# 8
{
  "formula": "PaTl2CuSe4",
  "functional": "PBE",
  "state": "relaxed",
  "e_form_raw_ev_per_atom": -0.71,
  "density_g_cm3": 7.8,
  "e_tot_ev_per_atom": -4.746,
  "magnetic_moment_mub_per_fu": 0.0,
  "cell": [[4.270, 0.000, 0.000], [0.000, 8.239, -0.731], [0.000, 2.366, 5.997]],
  "species": ["Pa", "Tl", "Tl", "Cu", "Se", "Se", "Se", "Se"],
  "fractional_positions": [[0.000, 0.500, 0.500], [0.000, 0.000, 0.000], [0.500, 0.000, 0.500], [0.500, 0.500, 0.000], [0.000, 0.709, 0.752], [0.000, 0.291, 0.248], [0.500, 0.688, 0.247], [0.500, 0.312, 0.753]]
}


# 9
{
  "formula": "Ac12Sm3Er",
  "functional": "PBE",
  "state": "relaxed",
  "density_g_cm3": 8.3,
  "e_tot_ev_per_atom": -4.220,
  "magnetic_moment_mub_per_fu": 0.0,
  "formation_energy_ev_per_atom": 0.0311,
  "cell": [[5.508, 0.000, 0.000], [0.000, 5.508, 0.000], [0.000, 0.000, 21.989]],
  "species": ["Ac", "Ac", "Ac", "Ac", "Ac", "Ac", "Ac", "Ac", "Ac", "Ac", "Ac", "Ac", "Sm", "Sm", "Sm", "Er"],
  "fractional_positions": [[0.500, 0.500, 0.000], [0.500, 0.500, 0.249], [0.500, 0.500, 0.500], [0.500, 0.500, 0.751], [0.500, 0.000, 0.124], [0.500, 0.000, 0.374], [0.500, 0.000, 0.626], [0.500, 0.000, 0.876], [0.000, 0.500, 0.124], [0.000, 0.500, 0.374], [0.000, 0.500, 0.626], [0.000, 0.500, 0.876], [0.000, 0.000, 0.249], [0.000, 0.000, 0.500], [0.000, 0.000, 0.751], [0.000, 0.000, 0.000]]
}


# 10
{
  "formula": "Y5Ho4Er2",
  "functional": "PBE",
  "state": "relaxed",
  "polymorph_energy_ev_per_fu": 0.00,
  "density_g_cm3": 6.9,
  "e_tot_ev_per_atom": -5.409,
  "magnetic_moment_mub_per_fu": 0.0,
  "formation_energy_ev_per_atom": 0.0236,
  "cell": [[3.497, -0.526, -0.031], [-2.260, 8.895, -1.917], [1.805, -0.537, 11.601]],
  "species": ["Y", "Y", "Y", "Y", "Y", "Ho", "Ho", "Ho", "Ho", "Er", "Er"],
  "fractional_positions": [[0.954, 0.091, 0.273], [0.046, 0.909, 0.727], [0.590, 0.816, 0.452], [0.500, 0.000, 0.000], [0.410, 0.184, 0.548], [0.772, 0.454, 0.363], [0.319, 0.365, 0.091], [0.228, 0.546, 0.637], [0.681, 0.635, 0.909], [0.865, 0.275, 0.820], [0.135, 0.725, 0.180]]
}